Entry from Alexandria: Y2Ga4Ni3Au after structural relaxation (PBE-GGA).

formation energy from the elements = -586.3 meV/atom
ρ = 7.99 g/cm³

Cell lengths 4.057, 4.057, 10.482 Å; angles 90.00, 90.00, 90.00 degrees
Space group P-4m2 (No. 115)
Asymmetric unit:
Y  0.000  0.500  0.235 x2
Ga  0.000  0.000  0.000 x1
Ga  0.000  0.500  0.647 x2
Ga  0.500  0.500  0.000 x1
Ni  0.000  0.500  0.870 x2
Ni  0.500  0.500  0.500 x1
Au  0.000  0.000  0.500 x1

Entry from Alexandria: Y2Ga4NiAu3 after structural relaxation (PBE-GGA).

formation energy from the elements = -587.2 meV/atom
ρ = 9.52 g/cm³

Cell lengths 4.184, 4.184, 11.019 Å; angles 90.00, 90.00, 90.00 degrees
Space group P-4m2 (No. 115)
Asymmetric unit:
Y  0.000  0.500  0.238 x2
Ga  0.000  0.000  0.500 x1
Ga  0.000  0.500  0.874 x2
Ga  0.500  0.500  0.500 x1
Ni  0.500  0.500  0.000 x1
Au  0.000  0.000  0.000 x1
Au  0.000  0.500  0.646 x2

Entry from Alexandria: YGa3NiAu after structural relaxation (PBE-GGA).

formation energy from the elements = -373.8 meV/atom
ρ = 8.37 g/cm³

Cell lengths 5.878, 12.350, 6.056 Å; angles 90.00, 90.00, 90.00 degrees
Space group Cmcm (No. 63)
Asymmetric unit:
Y  0.000  0.217  0.250 x4
Ga  0.000  0.367  0.750 x4
Ga  0.216  0.000  0.000 x8
Ni  0.000  0.431  0.250 x4
Au  0.000  0.159  0.750 x4

Entry from Alexandria: Zn4GaNi2Au after structural relaxation (PBE-GGA).

formation energy from the elements = -39.9 meV/atom
ρ = 8.61 g/cm³

Cell lengths 3.528, 3.528, 10.004 Å; angles 90.00, 90.00, 90.00 degrees
Space group P4/mmm (No. 123)
Asymmetric unit:
Zn  0.000  0.500  0.208 x4
Ga  0.000  0.000  0.500 x1
Ni  0.500  0.500  0.384 x2
Au  0.000  0.000  0.000 x1

Entry from Alexandria: NpGa2Au after structural relaxation (PBE-GGA).

formation energy from the elements = -112.5 meV/atom
ρ = 11.71 g/cm³

Cell lengths 4.319, 4.319, 4.358 Å; angles 90.00, 90.00, 90.00 degrees
Space group P4/mmm (No. 123)
Asymmetric unit:
Np  0.000  0.000  0.000 x1
Ga  0.000  0.500  0.500 x2
Au  0.500  0.500  0.000 x1

Entry from Alexandria: NpGa2Au3 after structural relaxation (PBE-GGA).

offset from the most stable computed form = 0.31 kcal/mol of atoms
formation energy from the elements = -209.3 meV/atom
ρ = 13.30 g/cm³

Cell lengths 17.283, 4.217, 10.422 Å; angles 90.00, 107.49, 90.00 degrees
Space group C2/m (No. 12)
Asymmetric unit:
Np  0.000  0.000  0.000 x2
Np  0.155  0.000  0.701 x4
Ga  0.032  0.500  0.777 x4
Ga  0.140  0.500  0.457 x4
Ga  0.200  0.000  0.121 x4
Au  0.000  0.500  0.500 x2
Au  0.043  0.000  0.339 x4
Au  0.116  0.500  0.183 x4
Au  0.170  0.500  0.949 x4
Au  0.219  0.000  0.377 x4

Entry from Alexandria: NpGa3Au3 after structural relaxation (PBE-GGA).

offset from the most stable computed form = 0.00 kcal/mol of atoms
formation energy from the elements = -125.3 meV/atom
ρ = 10.99 g/cm³

Cell lengths 8.0980, 8.0980, 16.5589 Å; angles 90.00, 90.00, 120.00 degrees
Space group R-3 (No. 148, hexagonal axes)
Asymmetric unit:
Np  0.0000  0.0000  0.1656 x6
Ga  0.9996  0.3070  0.4163 x18
Au  0.0009  0.6567  0.4075 x18

Entry from Alexandria: Np2Ga3Au5 after structural relaxation (PBE-GGA).

offset from the most stable computed form = 0.53 kcal/mol of atoms
formation energy from the elements = -196.6 meV/atom
ρ = 13.40 g/cm³

Cell lengths 11.460, 11.917, 6.054 Å; angles 90.00, 90.00, 90.00 degrees
Space group Ibam (No. 72)
Asymmetric unit:
Np  0.232  0.135  0.000 x8
Ga  0.000  0.500  0.250 x4
Ga  0.124  0.133  0.500 x8
Au  0.000  0.000  0.250 x4
Au  0.000  0.265  0.250 x8
Au  0.160  0.400  0.000 x8

Entry from Alexandria: NpGa2Au after structural relaxation (PBE-GGA).

formation energy from the elements = -139.5 meV/atom
ρ = 11.55 g/cm³

Cell lengths 4.3530, 4.3530, 15.0702 Å; angles 90.00, 90.00, 120.00 degrees
Space group R-3m (No. 166, hexagonal axes)
Asymmetric unit:
Np  0.0000  0.0000  0.0000 x3
Ga  0.0000  0.0000  0.2232 x6
Au  0.0000  0.0000  0.5000 x3

Entry from Alexandria: NpGa6Au12 after structural relaxation (PBE-GGA).

formation energy from the elements = -92.6 meV/atom
ρ = 13.48 g/cm³

Cell lengths 12.0742, 12.0742, 8.8399 Å; angles 90.00, 90.00, 120.00 degrees
Space group R-3m (No. 166, hexagonal axes)
Asymmetric unit:
Np  0.0000  0.0000  0.0000 x3
Ga  0.0567  0.5283  0.2480 x18
Au  0.0000  0.3814  0.5000 x18
Au  0.0815  0.1629  0.2944 x18

Entry from Alexandria: Np2Ga2Au3 after structural relaxation (PBE-GGA).

formation energy from the elements = -226.4 meV/atom
ρ = 14.10 g/cm³

Cell lengths 4.685, 20.238, 2.993 Å; angles 90.00, 90.00, 90.00 degrees
Space group Cmmm (No. 65)
Asymmetric unit:
Np  0.000  0.144  0.000 x4
Ga  0.000  0.430  0.500 x4
Au  0.000  0.000  0.500 x2
Au  0.000  0.289  0.500 x4

Entry from Alexandria: Np2Ga3Au2 after structural relaxation (PBE-GGA).

formation energy from the elements = -128.2 meV/atom
ρ = 12.20 g/cm³

Cell lengths 4.352, 18.632, 7.230 Å; angles 90.00, 90.00, 90.00 degrees
Space group Cmcm (No. 63)
Asymmetric unit:
Np  0.000  0.054  0.250 x4
Np  0.000  0.153  0.750 x4
Ga  0.000  0.225  0.250 x4
Ga  0.000  0.443  0.077 x8
Au  0.000  0.313  0.551 x8

Entry from Alexandria: Np3Ga6Au5 after structural relaxation (PBE-GGA).

formation energy from the elements = -220.9 meV/atom
ρ = 12.61 g/cm³

Cell lengths 4.573, 13.102, 9.295 Å; angles 90.00, 90.00, 90.00 degrees
Space group Pmmn (No. 59, origin choice 2)
Asymmetric unit:
Np  0.250  0.043  0.248 x4
Np  0.250  0.750  0.247 x2
Ga  0.250  0.093  0.891 x4
Ga  0.250  0.250  0.081 x2
Ga  0.250  0.250  0.427 x2
Ga  0.250  0.600  0.531 x4
Au  0.250  0.100  0.614 x4
Au  0.250  0.610  0.972 x4
Au  0.250  0.750  0.729 x2

Entry from Alexandria: Np2Ga5Au3 after structural relaxation (PBE-GGA).

formation energy from the elements = -219.3 meV/atom
ρ = 11.67 g/cm³

Cell lengths 10.783, 12.161, 6.135 Å; angles 90.00, 90.00, 90.00 degrees
Space group Ibam (No. 72)
Asymmetric unit:
Np  0.238  0.128  0.000 x8
Ga  0.000  0.000  0.250 x4
Ga  0.000  0.267  0.250 x8
Ga  0.148  0.383  0.000 x8
Au  0.000  0.500  0.250 x4
Au  0.123  0.134  0.500 x8

Entry from Alexandria: NpGa2Au after structural relaxation (PBE-GGA).

formation energy from the elements = -89.2 meV/atom
ρ = 12.09 g/cm³

Cell lengths 6.804, 6.804, 6.804 Å; angles 90.00, 90.00, 90.00 degrees
Space group Fm-3m (No. 225)
Asymmetric unit:
Np  0.000  0.000  0.000 x4
Ga  0.250  0.250  0.250 x8
Au  0.000  0.000  0.500 x4

Entry from Alexandria: NpGa3Au3 after structural relaxation (PBE-GGA).

offset from the most stable computed form = 6.44 kcal/mol of atoms
formation energy from the elements = 153.8 meV/atom
ρ = 9.93 g/cm³

Cell lengths 7.025, 7.025, 7.025 Å; angles 90.00, 90.00, 90.00 degrees
Space group Pm-3n (No. 223)
Asymmetric unit:
Np  0.000  0.000  0.000 x2
Ga  0.000  0.250  0.500 x6
Au  0.000  0.500  0.250 x6

Entry from Alexandria: NpGaAu after structural relaxation (PBE-GGA).

formation energy from the elements = -97.9 meV/atom
ρ = 14.02 g/cm³

Cell lengths 3.107, 3.107, 12.354 Å; angles 90.00, 90.00, 90.00 degrees
Space group I4mm (No. 107)
Asymmetric unit:
Np  0.000  0.000  0.000 x2
Ga  0.000  0.000  0.322 x2
Au  0.000  0.000  0.685 x2

Entry from Alexandria: NpGa3Au2 after structural relaxation (PBE-GGA).

formation energy from the elements = -221.2 meV/atom
ρ = 11.73 g/cm³

Cell lengths 4.634, 7.509, 13.667 Å; angles 90.00, 90.00, 90.00 degrees
Space group Immm (No. 71)
Asymmetric unit:
Np  0.000  0.000  0.125 x4
Ga  0.000  0.205  0.320 x8
Ga  0.000  0.339  0.000 x4
Au  0.000  0.313  0.500 x4
Au  0.000  0.500  0.191 x4

Entry from Alexandria: NpGa2Au after structural relaxation (PBE-GGA).

formation energy from the elements = 4.7 meV/atom
ρ = 13.73 g/cm³

Cell lengths 2.737, 2.737, 9.260 Å; angles 90.00, 90.00, 90.00 degrees
Space group P4/mmm (No. 123)
Asymmetric unit:
Np  0.000  0.000  0.000 x1
Ga  0.500  0.500  0.255 x2
Au  0.000  0.000  0.500 x1

Entry from Alexandria: NpGa2Au6 after structural relaxation (PBE-GGA).

offset from the most stable computed form = 2.92 kcal/mol of atoms
formation energy from the elements = -48.7 meV/atom
ρ = 12.87 g/cm³

Cell lengths 5.6958, 5.6958, 7.1571 Å; angles 90.00, 90.00, 120.00 degrees
Space group P6/mmm (No. 191)
Asymmetric unit:
Np  0.0000  0.0000  0.0000 x1
Ga  0.3333  0.6667  0.5000 x2
Au  0.0000  0.5000  0.2041 x6